[1]
BaTl3Mo: relaxed, PBE-GGA.

Lattice parameters (Å, degrees): 6.1193 6.1193 6.1193 90.00 90.00 90.00
Last column: nearest neighbours and their distance in Å.
Positions (direct):
Ba (0.0000, 0.0000, 0.0000)  6 Tl 3.06
Tl (0.0000, 0.0000, 0.5000)  2 Ba 3.06
Tl (0.0000, 0.5000, 0.0000)  2 Ba 3.06
Tl (0.5000, 0.0000, 0.0000)  2 Ba 3.06
Mo (0.5000, 0.5000, 0.5000)  12 Tl 4.33

Properties
As for the crystal system: cubic. Its electronic total energy is -0.141 Ry per atom. The volume comes out at 229.1 Å³/cell. As for the total magnetic moment: 0.00 μB per cell. The value obtained for the offset from the most stable computed form is 9.68 eV per formula unit. The value obtained for the formation energy is 2.05 eV per atom. For the density of states at the Fermi level, the calculation gives 4.608 states/eV per atom.

[2]
K2HfTeSe4: relaxed, PBE-GGA.

Lattice parameters (Å, degrees): 8.2957 8.2957 8.1159 110.01 110.01 88.45
Last column: nearest neighbours and their distance in Å.
Positions (direct):
K (0.0000, 0.0000, 0.0000)  4 Se 3.22-3.45
K (0.0000, 0.0000, 0.5000)  4 Se 3.22-3.45
K (0.0000, 0.5000, 0.0000)  6 Se 3.20-3.29
K (0.5000, 0.0000, 0.5000)  6 Se 3.20-3.29
Hf (0.5000, 0.5000, 0.0000)  6 Se 2.63-2.78
Hf (0.5000, 0.5000, 0.5000)  6 Se 2.63-2.78
Te (0.0000, 0.5000, 0.5000)  4 Se 2.82-2.85
Te (0.5000, 0.0000, 0.0000)  4 Se 2.82-2.85
Se (0.2416, 0.6898, 0.4448)  1 Hf 2.63, 1 Te 2.82
Se (0.3022, 0.3389, 0.6260)  2 Hf 2.76-2.78, 1 Te 2.85
Se (0.3102, 0.7584, 0.0552)  1 Hf 2.63, 1 Te 2.82
Se (0.3389, 0.3022, 0.1260)  2 Hf 2.76-2.78, 1 Te 2.85
Se (0.6611, 0.6978, 0.8740)  2 Hf 2.76-2.78, 1 Te 2.85
Se (0.6898, 0.2416, 0.9448)  1 Hf 2.63, 1 Te 2.82
Se (0.6978, 0.6611, 0.3740)  2 Hf 2.76-2.78, 1 Te 2.85
Se (0.7584, 0.3102, 0.5552)  1 Hf 2.63, 1 Te 2.82

Properties
As for the crystal system: monoclinic. For the formation energy (no corrections), the calculation gives -0.93 eV/atom. Its electronic total energy is -0.337 Ry per atom. The volume comes out at 490.6 Å³/cell. As for the total magnetic moment: 0.00 μB per cell.